Entry from OQMD: an optimized crystal structure of BaLaCuTe2S (PBE).

Unit cell a=7.7963 b=7.7963 c=10.9978 alpha=90.00 beta=90.00 gamma=147.52
Closest atoms and distances in Å follow each position.
Atoms (fractional coordinates):
Te1 0.3538 0.6462 0.9301  1 Cu 2.67
S1 0.0582 0.9418 0.7500  2 Cu 2.53
Cu1 0.5269 0.4731 0.2500  2 S 2.53, 2 Te 2.67
Te2 0.6462 0.3538 0.0699  1 Cu 2.67
La1 0.0000 0.0000 0.0000  2 S 2.88, 4 Te 3.18
Ba1 0.7191 0.2809 0.7500  2 S 3.25, 4 Te 3.57
La2 0.0000 0.0000 0.5000  2 S 2.88, 4 Te 3.18
S2 0.9418 0.0582 0.2500  2 Cu 2.53
Te3 0.6462 0.3538 0.4301  1 Cu 2.67
Cu2 0.4731 0.5269 0.7500  2 S 2.53, 2 Te 2.67
Te4 0.3538 0.6462 0.5699  1 Cu 2.67
Ba2 0.2809 0.7191 0.2500  2 S 3.25, 4 Te 3.57

Its energy above the most stable polymorph in this dataset is 0 meV/atom. For the density, the calculation gives 5.80 g cm⁻³.

Entry from OQMD: an optimized crystal structure of HfNbAsC (PBE).

Unit cell a=3.3717 b=3.3717 c=12.3028 alpha=90.00 beta=90.00 gamma=120.00
Closest atoms and distances in Å follow each position.
Atoms (fractional coordinates):
Hf1 0.6667 0.3333 0.4044  3 C 2.29
Nb1 0.3333 0.6667 0.5981  3 C 2.28
C1 0.0000 0.0000 0.5017  3 Nb 2.28, 3 Hf 2.29
Hf2 0.3333 0.6667 0.9044  3 C 2.29
C2 0.0000 0.0000 0.0017  3 Nb 2.28, 3 Hf 2.29
As1 0.3333 0.6667 0.2458  3 Nb 2.66, 3 Hf 2.76
As2 0.6667 0.3333 0.7458  3 Nb 2.66, 3 Hf 2.76
Nb2 0.6667 0.3333 0.0981  3 C 2.28

Its energy above the most stable polymorph in this dataset is 1 meV/atom. For the density, the calculation gives 9.82 g cm⁻³.

Entry from OQMD: an optimized crystal structure of PuOs (PBE).

Unit cell a=2.8649 b=2.8650 c=4.9712 alpha=90.00 beta=90.00 gamma=120.00
Closest atoms and distances in Å follow each position.
Atoms (fractional coordinates):
Os1 0.6667 0.3333 0.7500  6 Os 2.86, 6 Pu 2.99
Pu1 0.3333 0.6667 0.2500  6 Pu 2.86, 6 Os 2.99

For the formation energy, the calculation gives 0.29 eV/atom. For the density, the calculation gives 20.41 g cm⁻³.

no.,total energy (eV/f.u.)
1,-29.6
2,-37.2
3,-24.8